Entry 1:
## MgTiH2 (PBE)

Data for crystalline MgTiH2 at its relaxed geometry.

Computed properties:
- distance to the lowest polymorph of the same formula (meV per atom) = 50
- space group = I-42d (122)
- energy (hartree per atom) = -0.154
- total magnetization (Bohr magnetons per cell) = 0.00

Lattice parameters (Å, degrees): 5.443 5.443 5.443 131.90 131.90 70.38
Fractional positions:
Mg1 0.000 0.000 0.000
Mg2 0.750 0.250 0.500
Ti1 0.250 0.750 0.500
Ti2 0.500 0.500 0.000
H1 0.165 0.625 0.040
H2 0.375 0.415 0.540
H3 0.585 0.125 0.960
H4 0.875 0.835 0.460


Entry 2:
## CdGa2RuCl (PBE)

Data for crystalline CdGa2RuCl at its relaxed geometry.

Computed properties:
- space group = P4/mmm (123)
- energy (hartree per atom) = -0.095
- total magnetization (Bohr magnetons per cell) = 2.15
- formation energy from raw total energies (eV per atom) = 1.034

Lattice parameters (Å, degrees): 4.951 4.951 5.120 90.00 90.00 90.00
Fractional positions:
Cd1 0.000 0.000 0.000
Ga1 0.000 0.500 0.500
Ga2 0.500 0.000 0.500
Ru1 0.500 0.500 0.000
Cl1 0.000 0.000 0.500


Entry 3:
## Hf6GeS (PBE)

Data for crystalline Hf6GeS at its relaxed geometry.

Computed properties:
- space group = P-1 (2)
- energy (hartree per atom) = -0.324
- total magnetization (Bohr magnetons per cell) = 0.00
- formation energy from raw total energies (eV per atom) = -0.263

Lattice parameters (Å, degrees): 6.007 6.009 6.589 90.06 117.06 119.96
Fractional positions:
Hf1 0.018 0.062 0.258
Hf2 0.302 0.740 0.258
Hf3 0.303 0.543 0.742
Hf4 0.697 0.457 0.258
Hf5 0.698 0.260 0.742
Hf6 0.982 0.938 0.742
Ge1 0.500 0.000 0.000
S1 0.500 0.500 0.500


Entry 4:
## ErBiSb2 (PBE)

Data for crystalline ErBiSb2 at its relaxed geometry.

Computed properties:
- distance to the lowest polymorph of the same formula (meV per atom) = 0
- space group = R-3m (166)
- energy (hartree per atom) = -0.169
- total magnetization (Bohr magnetons per cell) = 0.00
- formation energy from raw total energies (eV per atom) = -0.415

Lattice parameters (Å, degrees): 7.765 7.765 7.765 33.20 33.20 33.20
Fractional positions:
Er1 0.000 0.000 0.000
Bi1 0.500 0.500 0.500
Sb1 0.253 0.253 0.253
Sb2 0.747 0.747 0.747


Entry 5:
## LiRhF3 (PBE)

Data for crystalline LiRhF3 at its relaxed geometry.

Computed properties:
- distance to the lowest polymorph of the same formula (meV per atom) = 270
- space group = Pm-3m (221)
- energy (hartree per atom) = -0.165
- total magnetization (Bohr magnetons per cell) = 0.00
- formation energy from raw total energies (eV per atom) = -1.518

Lattice parameters (Å, degrees): 4.200 4.200 4.200 90.00 90.00 90.00
Fractional positions:
Li1 0.000 0.000 0.000
Rh1 0.500 0.500 0.500
F1 0.000 0.500 0.500
F2 0.500 0.000 0.500
F3 0.500 0.500 0.000


Entry 6:
## TmTcBrO4 (PBE)

Data for crystalline TmTcBrO4 at its relaxed geometry.

Computed properties:
- space group = C2/m (12)
- energy (hartree per atom) = -0.264
- total magnetization (Bohr magnetons per cell) = 2.01
- formation energy from raw total energies (eV per atom) = -1.982

Lattice parameters (Å, degrees): 6.316 6.316 6.872 102.29 102.29 67.51
Fractional positions:
Tm1 0.227 0.227 0.102
Tm2 0.773 0.773 0.898
Tc1 0.368 0.368 0.719
Tc2 0.632 0.632 0.281
Br1 0.010 0.010 0.755
Br2 0.990 0.990 0.245
O1 0.117 0.484 0.856
O2 0.289 0.289 0.462
O3 0.460 0.460 0.209
O4 0.484 0.117 0.856
O5 0.516 0.883 0.144
O6 0.540 0.540 0.791
O7 0.711 0.711 0.538
O8 0.883 0.516 0.144